Entry from Alexandria: a PBEsol-optimized structure of ReSiTc2 (meta-GGA SCAN).

abc: 2.8847 2.8847 6.4696
angles: 90.00 90.00 90.00
Atoms (fractional coordinates):
1 Tc 0.5000 0.5000 0.2481
2 Tc 0.0000 0.0000 0.9799
3 Re 0.0000 0.0000 0.5176
4 Si 0.5000 0.5000 0.7544

Properties
Its density of states at the Fermi level is 2.981 states/eV per cell. Its raw formation energy is -0.22 eV/atom.



Entry from Alexandria: a PBEsol-optimized structure of ReSi2Tc (meta-GGA SCAN).

abc: 2.8126 2.8126 7.7501
angles: 90.00 90.00 116.95
Atoms (fractional coordinates):
1 Si 0.0000 0.0000 0.2527
2 Si 0.0000 0.0000 0.7473
3 Re 0.5000 0.5000 0.0000
4 Tc 0.5000 0.5000 0.5000

Properties
For the offset from the most stable computed form, the calculation gives 405 meV/atom. Its density of states at the Fermi level is 2.514 states/eV per cell. Its raw formation energy is 0.01 eV/atom.



Entry from Alexandria: a PBEsol-optimized structure of ReSiTc2 (meta-GGA SCAN).

abc: 3.7639 3.7639 4.6969
angles: 113.62 113.62 90.00
Atoms (fractional coordinates):
1 Tc 0.7500 0.2500 0.5000
2 Re 0.5000 0.5000 0.0000
3 Si 0.0000 0.0000 0.0000
4 Tc 0.2500 0.7500 0.5000

Properties
Its density of states at the Fermi level is 4.673 states/eV per cell. Its raw formation energy is -0.01 eV/atom.



Entry from Alexandria: a PBEsol-optimized structure of ReSiTc2 (meta-GGA SCAN).

abc: 2.9011 2.9011 6.3867
angles: 90.00 90.00 90.00
Atoms (fractional coordinates):
1 Tc 0.0000 0.0000 0.7299
2 Re 0.5000 0.5000 0.0000
3 Tc 0.0000 0.0000 0.2701
4 Si 0.5000 0.5000 0.5000

Properties
Its density of states at the Fermi level is 2.631 states/eV per cell. Its raw formation energy is -0.29 eV/atom.



Entry from Alexandria: a PBEsol-optimized structure of YRe2SiTc (meta-GGA SCAN).

abc: 4.6748 4.6748 4.7632
angles: 90.00 90.00 90.00
Last column: magnetic moment on the atom in μB.
Atoms (fractional coordinates):
1 Re 0.5000 0.0000 0.0000  -0.10
2 Si 0.0000 0.0000 0.5000  -0.02
3 Re 0.0000 0.5000 0.0000  -0.10
4 Y 0.0000 0.0000 0.0000  0.04
5 Tc 0.5000 0.5000 0.5000  3.29

Properties
Its density of states at the Fermi level is 4.484 states/eV per cell. Its raw formation energy is 3.07 eV/atom.



Entry from Alexandria: a PBEsol-optimized structure of ReSi2Te (meta-GGA SCAN).

abc: 3.0612 3.0612 9.0190
angles: 80.23 80.23 60.00
Atoms (fractional coordinates):
1 Re 0.2586 0.2586 0.2243
2 Si 0.7334 0.7334 0.7998
3 Te 0.5147 0.5147 0.4559
4 Si 0.9933 0.9933 0.0200

Properties
Its density of states at the Fermi level is 2.398 states/eV per cell. Its raw formation energy is 0.55 eV/atom.



Entry from Alexandria: a PBEsol-optimized structure of ReSi2Te (meta-GGA SCAN).

abc: 3.8837 3.8837 4.3932
angles: 90.00 90.00 90.00
Atoms (fractional coordinates):
1 Te 0.5000 0.5000 0.5000
2 Re 0.0000 0.0000 0.5000
3 Si 0.0000 0.5000 0.0000
4 Si 0.5000 0.0000 0.0000

Properties
Its density of states at the Fermi level is 2.523 states/eV per cell. Its raw formation energy is 1.10 eV/atom.



Entry from Alexandria: a PBEsol-optimized structure of ReSiTe2 (meta-GGA SCAN).

abc: 4.3982 5.0062 4.3982
angles: 63.94 90.00 116.06
Atoms (fractional coordinates):
1 Si 0.7500 0.5000 0.7500
2 Te 0.0000 0.0000 0.0000
3 Re 0.5000 0.0000 0.5000
4 Te 0.2500 0.5000 0.2500

Properties
Its density of states at the Fermi level is 2.239 states/eV per cell. Its raw formation energy is 1.05 eV/atom.



Entry from Alexandria: a PBEsol-optimized structure of ReSiTe (meta-GGA SCAN).

abc: 4.3329 4.3329 4.3329
angles: 60.00 60.00 60.00
Atoms (fractional coordinates):
1 Te 0.5000 0.5000 0.5000
2 Re 0.2500 0.2500 0.2500
3 Si 0.0000 0.0000 0.0000

Properties
For the offset from the most stable computed form, the calculation gives 0 meV/atom. Its density of states at the Fermi level is 2.861 states/eV per cell. Its raw formation energy is 0.49 eV/atom.



Entry from Alexandria: a PBEsol-optimized structure of ThRe4Si2 (meta-GGA SCAN).

abc: 4.1304 7.2056 15.5185
angles: 90.00 90.00 90.00
Atoms (fractional coordinates):
1 Re 0.5000 0.0703 0.9195
2 Si 0.5000 0.1969 0.7727
3 Re 0.0000 0.7386 0.3216
4 Re 0.5000 0.3569 0.5507
5 Re 0.5000 0.7614 0.8216
6 Si 0.0000 0.1701 0.5246
7 Th 0.0000 0.4144 0.8816
8 Si 0.0000 0.3031 0.2727
9 Re 0.0000 0.4297 0.4195
10 Th 0.0000 0.5856 0.1184
11 Si 0.0000 0.8299 0.4754
12 Re 0.0000 0.0028 0.7945
13 Re 0.0000 0.8569 0.9493
14 Si 0.5000 0.3299 0.0246
15 Re 0.0000 0.5703 0.5805
16 Re 0.5000 0.6431 0.4493
17 Si 0.5000 0.8031 0.2273
18 Re 0.0000 0.9972 0.2055
19 Re 0.5000 0.4972 0.2945
20 Si 0.5000 0.6701 0.9754
21 Th 0.5000 0.9144 0.6184
22 Re 0.5000 0.2386 0.1784
23 Re 0.5000 0.5028 0.7055
24 Re 0.0000 0.2614 0.6784
25 Si 0.0000 0.6969 0.7273
26 Re 0.0000 0.1431 0.0507
27 Th 0.5000 0.0856 0.3816
28 Re 0.5000 0.9297 0.0805

Properties
Its density of states at the Fermi level is 10.748 states/eV per cell. Its raw formation energy is -0.51 eV/atom.



Entry from Alexandria: a PBEsol-optimized structure of TiReSi3 (meta-GGA SCAN).

abc: 4.6107 4.6107 4.6107
angles: 90.00 90.00 90.00
Last column: magnetic moment on the atom in μB.
Atoms (fractional coordinates):
1 Si 0.0000 0.0000 0.5000  -0.01
2 Si 0.0000 0.5000 0.0000  -0.01
3 Si 0.5000 0.0000 0.0000  -0.01
4 Ti 0.5000 0.5000 0.5000  1.81
5 Re 0.0000 0.0000 0.0000  0.34

Properties
Its density of states at the Fermi level is 5.603 states/eV per cell. Its raw formation energy is 0.80 eV/atom.



Entry from Alexandria: a PBEsol-optimized structure of TiReSi (meta-GGA SCAN).

abc: 3.2049 6.7548 6.7548
angles: 120.00 90.00 90.00
Atoms (fractional coordinates):
1 Si 0.0000 0.3333 0.6667
2 Re 0.0000 0.0000 0.2630
3 Ti 0.5000 0.0000 0.5972
4 Si 0.0000 0.6667 0.3333
5 Re 0.0000 0.7370 0.7370
6 Ti 0.5000 0.4028 0.4028
7 Si 0.5000 0.0000 0.0000
8 Re 0.0000 0.2630 0.0000
9 Ti 0.5000 0.5972 0.0000

Properties
Its density of states at the Fermi level is 2.259 states/eV per cell. Its raw formation energy is -0.81 eV/atom.



Entry from Alexandria: a PBEsol-optimized structure of Ti2ReSi2 (meta-GGA SCAN).

abc: 3.4707 6.3763 6.3763
angles: 90.00 90.00 90.00
Atoms (fractional coordinates):
1 Re 0.0000 0.0000 0.0000
2 Re 0.0000 0.5000 0.5000
3 Si 0.0000 0.8689 0.6311
4 Ti 0.5000 0.1694 0.6694
5 Si 0.0000 0.1311 0.3689
6 Ti 0.5000 0.8306 0.3306
7 Si 0.0000 0.6311 0.1311
8 Si 0.0000 0.3689 0.8689
9 Ti 0.5000 0.6694 0.8306
10 Ti 0.5000 0.3306 0.1694

Properties
Its density of states at the Fermi level is 6.206 states/eV per cell. Its raw formation energy is -0.74 eV/atom.



Entry from Alexandria: a PBEsol-optimized structure of YTiReSi2 (meta-GGA SCAN).

abc: 4.6106 4.6106 5.2627
angles: 90.00 90.00 90.00
Last column: magnetic moment on the atom in μB.
Atoms (fractional coordinates):
1 Si 0.5000 0.0000 0.0000  -0.01
2 Y 0.0000 0.0000 0.5000  0.22
3 Ti 0.5000 0.5000 0.5000  1.92
4 Re 0.0000 0.0000 0.0000  0.10
5 Si 0.0000 0.5000 0.0000  -0.01

Properties
Its density of states at the Fermi level is 3.732 states/eV per cell. Its raw formation energy is 0.54 eV/atom.



Entry from Alexandria: a PBEsol-optimized structure of TlRe2Si (meta-GGA SCAN).

abc: 4.5080 4.5080 4.5080
angles: 60.00 60.00 60.00
Atoms (fractional coordinates):
1 Re 0.0000 0.0000 0.0000
2 Re 0.7500 0.7500 0.7500
3 Tl 0.2500 0.2500 0.2500
4 Si 0.5000 0.5000 0.5000

Properties
For the offset from the most stable computed form, the calculation gives 101 meV/atom. Its density of states at the Fermi level is 2.626 states/eV per cell. Its raw formation energy is 1.04 eV/atom.



Entry from Alexandria: a PBEsol-optimized structure of TlRe2Si (meta-GGA SCAN).

abc: 4.4306 4.4306 4.4306
angles: 60.00 60.00 60.00
Atoms (fractional coordinates):
1 Re 0.2500 0.2500 0.2500
2 Re 0.7500 0.7500 0.7500
3 Si 0.5000 0.5000 0.5000
4 Tl 0.0000 0.0000 0.0000

Properties
For the offset from the most stable computed form, the calculation gives 0 meV/atom. Its density of states at the Fermi level is 3.088 states/eV per cell. Its raw formation energy is 0.94 eV/atom.



Entry from Alexandria: a PBEsol-optimized structure of TlReSi3 (meta-GGA SCAN).

abc: 4.9348 4.9348 4.9348
angles: 90.00 90.00 90.00
Last column: magnetic moment on the atom in μB.
Atoms (fractional coordinates):
1 Re 0.5000 0.5000 0.5000  3.09
2 Tl 0.0000 0.0000 0.0000  0.01
3 Si 0.0000 0.0000 0.5000  -0.07
4 Si 0.0000 0.5000 0.0000  -0.07
5 Si 0.5000 0.0000 0.0000  -0.07

Properties
Its density of states at the Fermi level is 3.312 states/eV per cell. Its raw formation energy is 2.58 eV/atom.



Entry from Alexandria: a PBEsol-optimized structure of TlZnRe2Si (meta-GGA SCAN).

abc: 4.6205 4.6205 4.5989
angles: 90.00 90.00 90.00
Last column: magnetic moment on the atom in μB.
Atoms (fractional coordinates):
1 Zn 0.0000 0.0000 0.0000  0.03
2 Re 0.0000 0.5000 0.0000  1.55
3 Tl 0.0000 0.0000 0.5000  -0.01
4 Si 0.5000 0.5000 0.5000  -0.01
5 Re 0.5000 0.0000 0.0000  1.55

Properties
Its density of states at the Fermi level is 4.240 states/eV per cell. Its raw formation energy is 2.22 eV/atom.



Entry from Alexandria: a PBEsol-optimized structure of Re2SiW (meta-GGA SCAN).

abc: 4.3214 4.3214 4.3214
angles: 60.00 60.00 60.00
Atoms (fractional coordinates):
1 Si 0.5000 0.5000 0.5000
2 Re 0.0000 0.0000 0.0000
3 Re 0.2500 0.2500 0.2500
4 W 0.7500 0.7500 0.7500

Properties
Its density of states at the Fermi level is 2.931 states/eV per cell. Its raw formation energy is 0.17 eV/atom.



Entry from Alexandria: a PBEsol-optimized structure of Re2SiW (meta-GGA SCAN).

abc: 2.7671 4.8864 5.0498
angles: 117.15 103.03 95.76
Atoms (fractional coordinates):
1 Re 0.0000 0.0000 0.5000
2 Si 0.5000 0.0000 0.0000
3 W 0.0000 0.5000 0.0000
4 Re 0.5000 0.5000 0.5000

Properties
Its density of states at the Fermi level is 2.462 states/eV per cell. Its raw formation energy is 0.19 eV/atom.



Entry from Alexandria: a PBEsol-optimized structure of Re2SiW (meta-GGA SCAN).

abc: 3.0392 3.0392 6.0941
angles: 90.00 90.00 90.00
Atoms (fractional coordinates):
1 Si 0.5000 0.5000 0.0000
2 Re 0.0000 0.0000 0.7646
3 Re 0.0000 0.0000 0.2354
4 W 0.5000 0.5000 0.5000

Properties
Its density of states at the Fermi level is 1.950 states/eV per cell. Its raw formation energy is -0.13 eV/atom.



Entry from Alexandria: a PBEsol-optimized structure of Y2Re3Si5 (meta-GGA SCAN).

abc: 5.4662 10.9056 10.9056
angles: 90.00 90.00 90.00
Atoms (fractional coordinates):
1 Y 0.5000 0.4223 0.2629
2 Si 0.5000 0.9712 0.3138
3 Si 0.2500 0.6720 0.1720
4 Re 0.5000 0.1473 0.8772
5 Si 0.0000 0.1862 0.5288
6 Re 0.7500 0.0000 0.5000
7 Re 0.5000 0.8772 0.8527
8 Y 0.0000 0.9223 0.2371
9 Y 0.5000 0.5777 0.7371
10 Re 0.0000 0.6473 0.6228
11 Y 0.0000 0.2371 0.0777
12 Si 0.0000 0.8138 0.4712
13 Si 0.2500 0.3280 0.8280
14 Si 0.2589 0.5000 0.5000
15 Si 0.7500 0.8280 0.6720
16 Si 0.7411 0.5000 0.5000
17 Si 0.0000 0.4712 0.1862
18 Si 0.5000 0.0288 0.6862
19 Y 0.5000 0.2629 0.5777
20 Si 0.7500 0.6720 0.1720
21 Re 0.0000 0.6228 0.3527
22 Y 0.5000 0.7371 0.4223
23 Y 0.0000 0.0777 0.7629
24 Y 0.0000 0.7629 0.9223
25 Si 0.5000 0.3138 0.0288
26 Si 0.5000 0.6862 0.9712
27 Re 0.2500 0.0000 0.5000
28 Re 0.0000 0.3772 0.6473
29 Si 0.2411 0.0000 0.0000
30 Re 0.7500 0.5000 0.0000
31 Re 0.2500 0.5000 0.0000
32 Si 0.7500 0.1720 0.3280
33 Si 0.2500 0.8280 0.6720
34 Re 0.5000 0.8527 0.1228
35 Si 0.7500 0.3280 0.8280
36 Si 0.0000 0.5288 0.8138
37 Si 0.7589 0.0000 0.0000
38 Si 0.2500 0.1720 0.3280
39 Re 0.0000 0.3527 0.3772
40 Re 0.5000 0.1228 0.1473

Properties
Its density of states at the Fermi level is 14.690 states/eV per cell. Its raw formation energy is -0.63 eV/atom.



Entry from Alexandria: a PBEsol-optimized structure of YReSi2 (meta-GGA SCAN).

abc: 3.9631 4.0514 4.0514
angles: 90.00 90.00 90.00
Atoms (fractional coordinates):
1 Si 0.0000 0.5000 0.0000
2 Re 0.5000 0.0000 0.0000
3 Si 0.0000 0.0000 0.5000
4 Y 0.5000 0.5000 0.5000

Properties
Its density of states at the Fermi level is 2.980 states/eV per cell. Its raw formation energy is 0.13 eV/atom.



Entry from Alexandria: a PBEsol-optimized structure of ZnRe2Si (meta-GGA SCAN).

abc: 2.7288 2.7288 8.2697
angles: 90.00 90.00 114.48
Atoms (fractional coordinates):
1 Re 0.0000 0.0000 0.2658
2 Zn 0.5000 0.5000 0.0000
3 Si 0.5000 0.5000 0.5000
4 Re 0.0000 0.0000 0.7342

Properties
Its density of states at the Fermi level is 2.517 states/eV per cell. Its raw formation energy is 0.22 eV/atom.



Entry from Alexandria: a PBEsol-optimized structure of ZnRe2Si (meta-GGA SCAN).

abc: 2.9053 4.3442 4.7249
angles: 106.16 107.91 90.00
Atoms (fractional coordinates):
1 Zn 0.7511 0.2191 0.5023
2 Re 0.2475 0.7133 0.4951
3 Si 0.5046 0.5321 0.0092
4 Re 0.9967 0.0355 0.9934

Properties
Its density of states at the Fermi level is 2.033 states/eV per cell. Its raw formation energy is 0.12 eV/atom.



Entry from Alexandria: a PBEsol-optimized structure of Zr2ReSi2 (meta-GGA SCAN).

abc: 3.8623 6.5063 6.5063
angles: 90.00 90.00 90.00
Atoms (fractional coordinates):
1 Si 0.0000 0.6312 0.1312
2 Si 0.0000 0.8688 0.6312
3 Si 0.0000 0.3688 0.8688
4 Zr 0.5000 0.8274 0.3274
5 Si 0.0000 0.1312 0.3688
6 Zr 0.5000 0.6726 0.8274
7 Zr 0.5000 0.1726 0.6726
8 Re 0.0000 0.0000 0.0000
9 Zr 0.5000 0.3274 0.1726
10 Re 0.0000 0.5000 0.5000

Properties
Its density of states at the Fermi level is 3.534 states/eV per cell. Its raw formation energy is -0.83 eV/atom.